TbMgHgRh: optimized geometry, GGA-PBE.

Output
The value obtained for the total energy is -3.94 eV/atom. Its energy relative to the elements is -0.469 eV per atom. The space-group type is No. 216.

Structure (POSCAR):
```
TbMgHgRh
1.0
4.8833 0.0000 0.0000
2.4416 4.2290 0.0000
2.4416 1.4097 3.9872
Mg Hg Tb Rh
1 1 1 1
direct
0.2500 0.2500 0.2500
0.5000 0.5000 0.5000
0.7500 0.7500 0.7500
0.0000 0.0000 0.0000
```